Entry 1:
Compound: Tb3Dy8Mg
Source: Alexandria via LeMat-Bulk
Functional: PBE-GGA
Structure: optimized geometry

Cell lengths 9.4728, 3.5701, 11.4579 Å; angles 90.00, 104.34, 90.00 degrees
Closest atoms and distances in Å follow each position.
Fractional positions:
Tb (0.0000, 0.0000, 0.0000)  8 Dy 3.36-3.48, 1 Mg 3.51, 2 Tb 3.57
Tb (0.2099, 0.5000, 0.5160)  7 Dy 3.46-3.55, 2 Mg 3.49, 3 Tb 3.50-3.57
Tb (0.4748, 0.5000, 0.7900)  8 Dy 3.41-3.52, 3 Tb 3.50-3.57
Dy (0.1528, 0.0000, 0.7652)  5 Tb 3.36-3.52, 7 Dy 3.54-3.59
Dy (0.3224, 0.5000, 0.0305)  3 Tb 3.41-3.48, 2 Mg 3.42, 7 Dy 3.47-3.62
Dy (0.5406, 0.0000, 0.5479)  7 Dy 3.46-3.57, 4 Tb 3.48-3.55, 1 Mg 3.54
Dy (0.5953, 0.5000, 0.2961)  10 Dy 3.47-3.57, 2 Mg 3.50
Dy (0.6597, 0.0000, 0.0470)  3 Tb 3.40-3.52, 8 Dy 3.54-3.62
Dy (0.8192, 0.5000, 0.7468)  3 Tb 3.42-3.48, 8 Dy 3.52-3.61
Dy (0.8821, 0.0000, 0.4901)  10 Dy 3.46-3.61, 2 Tb 3.53
Dy (0.9509, 0.5000, 0.2430)  3 Tb 3.43-3.46, 2 Mg 3.47, 7 Dy 3.54-3.57
Mg (0.2715, 0.0000, 0.2717)  7 Dy 3.42-3.54, 3 Tb 3.49-3.51, 2 Mg 3.57

- symmetry = No. 6
- DFT formation energy (meV/atom) = 31.6
- DFT total energy (eV per atom) = -4.33

***

Entry 2:
Compound: TbDy2Mg4
Source: Alexandria via LeMat-Bulk
Functional: PBE-GGA
Structure: optimized geometry

Cell lengths 7.1287, 7.1287, 5.4570 Å; angles 90.00, 90.00, 130.49 degrees
Closest atoms and distances in Å follow each position.
Fractional positions:
Tb (0.0000, 0.0000, 0.0000)  6 Mg 3.13-3.16
Dy (0.3677, 0.6323, 0.5000)  5 Mg 2.99-3.22
Dy (0.6323, 0.3677, 0.5000)  5 Mg 2.99-3.22
Mg (0.1186, 0.8814, 0.5000)  3 Dy 2.99-3.22, 3 Mg 3.07-3.18, 2 Tb 3.13
Mg (0.2444, 0.7556, 0.0000)  4 Mg 2.99-3.18, 2 Dy 3.16, 1 Tb 3.16
Mg (0.7556, 0.2444, 0.0000)  4 Mg 2.99-3.18, 2 Dy 3.16, 1 Tb 3.16
Mg (0.8814, 0.1186, 0.5000)  3 Dy 2.99-3.22, 3 Mg 3.07-3.18, 2 Tb 3.13

- excess energy over the best structure of this formula in the dataset (eV per atom) = 0.243
- symmetry = No. 65
- DFT formation energy (meV/atom) = 382.2
- DFT total energy (eV per atom) = -2.51

***

Entry 3:
Compound: TbDy3Mg7
Source: Alexandria via LeMat-Bulk
Functional: PBE-GGA
Structure: optimized geometry

Cell lengths 7.3921, 7.3921, 6.0866 Å; angles 102.73, 102.73, 86.96 degrees
Closest atoms and distances in Å follow each position.
Fractional positions:
Tb (0.0000, 0.0000, 0.0000)  8 Mg 3.04-3.39
Dy (0.3075, 0.6925, 0.5000)  7 Mg 3.13-3.33
Dy (0.5000, 0.5000, 0.0000)  6 Mg 3.21-3.41
Dy (0.6925, 0.3075, 0.5000)  7 Mg 3.13-3.33
Mg (0.0000, 0.0000, 0.5000)  2 Mg 2.85, 2 Tb 3.04, 2 Dy 3.13
Mg (0.0634, 0.5507, 0.8104)  3 Mg 2.93-3.13, 2 Dy 3.21-3.24
Mg (0.2622, 0.2622, 0.4802)  5 Mg 2.85-3.13, 2 Dy 3.19
Mg (0.4493, 0.9366, 0.1896)  3 Mg 2.93-3.13, 2 Dy 3.21-3.24
Mg (0.5507, 0.0634, 0.8104)  3 Mg 2.93-3.13, 2 Dy 3.21-3.24
Mg (0.7378, 0.7378, 0.5198)  5 Mg 2.85-3.13, 2 Dy 3.19
Mg (0.9366, 0.4493, 0.1896)  3 Mg 2.93-3.13, 2 Dy 3.21-3.24

- symmetry = No. 12
- DFT formation energy (meV/atom) = 193.8
- DFT total energy (eV per atom) = -2.50

***

Entry 4:
Compound: Tb6Dy4Mg
Source: Alexandria via LeMat-Bulk
Functional: PBE-GGA
Structure: optimized geometry

Cell lengths 9.6709, 9.6709, 9.6709 Å; angles 140.87, 140.87, 56.53 degrees
Closest atoms and distances in Å follow each position.
Fractional positions:
Tb (0.0000, 0.5000, 0.5000)  2 Mg 3.24, 4 Tb 3.30
Tb (0.0409, 0.6924, 0.0000)  3 Tb 3.19-3.30, 5 Dy 3.33-3.48
Tb (0.3076, 0.3076, 0.3485)  3 Tb 3.19-3.30, 5 Dy 3.33-3.48
Tb (0.5000, 0.0000, 0.5000)  2 Mg 3.24, 4 Tb 3.30
Tb (0.6924, 0.0409, 0.0000)  3 Tb 3.19-3.30, 5 Dy 3.33-3.48
Tb (0.9591, 0.9591, 0.6515)  3 Tb 3.19-3.30, 5 Dy 3.33-3.48
Dy (0.1459, 0.1459, 0.6339)  5 Tb 3.33-3.48, 1 Dy 3.35, 1 Mg 3.36
Dy (0.4880, 0.8541, 0.0000)  5 Tb 3.33-3.48, 1 Dy 3.35, 1 Mg 3.36
Dy (0.5120, 0.5120, 0.3661)  5 Tb 3.33-3.48, 1 Dy 3.35, 1 Mg 3.36
Dy (0.8541, 0.4880, 0.0000)  5 Tb 3.33-3.48, 1 Dy 3.35, 1 Mg 3.36
Mg (0.5000, 0.5000, 0.0000)  4 Tb 3.24, 4 Dy 3.36

- symmetry = No. 121
- DFT formation energy (meV/atom) = 278.9
- DFT total energy (eV per atom) = -4.07

***

Entry 5:
Compound: Tb12Dy6Mg
Source: Alexandria via LeMat-Bulk
Functional: PBE-GGA
Structure: optimized geometry

Cell lengths 8.5981, 8.5981, 8.5981 Å; angles 97.22, 97.22, 97.22 degrees
Closest atoms and distances in Å follow each position.
Fractional positions:
Tb (0.0000, 0.2619, 0.7381)  4 Dy 3.32-3.49, 1 Mg 3.38, 6 Tb 3.38-3.60
Tb (0.0000, 0.7381, 0.2619)  4 Dy 3.32-3.49, 1 Mg 3.38, 6 Tb 3.38-3.60
Tb (0.1680, 0.5852, 0.5852)  5 Tb 3.16-3.45
Tb (0.2619, 0.0000, 0.7381)  4 Dy 3.32-3.49, 6 Tb 3.38-3.60, 1 Mg 3.38
Tb (0.2619, 0.7381, 0.0000)  4 Dy 3.32-3.49, 6 Tb 3.38-3.60, 1 Mg 3.38
Tb (0.4148, 0.4148, 0.8320)  5 Tb 3.16-3.45
Tb (0.4148, 0.8320, 0.4148)  5 Tb 3.16-3.45
Tb (0.5852, 0.1680, 0.5852)  5 Tb 3.16-3.45
Tb (0.5852, 0.5852, 0.1680)  5 Tb 3.16-3.45
Tb (0.7381, 0.0000, 0.2619)  4 Dy 3.32-3.49, 6 Tb 3.38-3.60, 1 Mg 3.38
Tb (0.7381, 0.2619, 0.0000)  4 Dy 3.32-3.49, 6 Tb 3.38-3.60, 1 Mg 3.38
Tb (0.8320, 0.4148, 0.4148)  5 Tb 3.16-3.45
Dy (0.1357, 0.1357, 0.4076)  4 Tb 3.32-3.49, 2 Dy 3.51, 1 Mg 3.55
Dy (0.1357, 0.4076, 0.1357)  4 Tb 3.32-3.49, 2 Dy 3.51, 1 Mg 3.55
Dy (0.4076, 0.1357, 0.1357)  4 Tb 3.32-3.49, 2 Dy 3.51, 1 Mg 3.55
Dy (0.5924, 0.8643, 0.8643)  4 Tb 3.32-3.49, 2 Dy 3.51, 1 Mg 3.55
Dy (0.8643, 0.5924, 0.8643)  4 Tb 3.32-3.49, 2 Dy 3.51, 1 Mg 3.55
Dy (0.8643, 0.8643, 0.5924)  4 Tb 3.32-3.49, 2 Dy 3.51, 1 Mg 3.55
Mg (0.0000, 0.0000, 0.0000)  6 Tb 3.38, 6 Dy 3.55

- excess energy over the best structure of this formula in the dataset (eV per atom) = 0.005
- symmetry = No. 166
- DFT formation energy (meV/atom) = 137.6
- DFT total energy (eV per atom) = -4.32

***

Entry 6:
Compound: Tb2DyMg2
Source: Alexandria via LeMat-Bulk
Functional: PBE-GGA
Structure: optimized geometry

Cell lengths 15.4905, 15.4905, 15.4905 Å; angles 163.17, 163.17, 23.89 degrees
Closest atoms and distances in Å follow each position.
Fractional positions:
Tb (0.0000, 0.5000, 0.5000)  4 Mg 3.19, 4 Tb 3.21
Tb (0.1721, 0.1721, 0.0000)  5 Mg 2.97-3.27
Tb (0.5000, 0.0000, 0.5000)  4 Mg 3.19, 4 Tb 3.21
Tb (0.8279, 0.8279, 0.0000)  5 Mg 2.97-3.27
Dy (0.3909, 0.3909, 0.0000)  4 Mg 3.38, 4 Tb 3.73
Dy (0.6091, 0.6091, 0.0000)  4 Mg 3.38, 4 Tb 3.73
Mg (0.0742, 0.0742, 0.0000)  5 Tb 2.97-3.19
Mg (0.2500, 0.7500, 0.5000)  4 Mg 3.21, 4 Tb 3.27
Mg (0.7500, 0.2500, 0.5000)  4 Mg 3.21, 4 Tb 3.27
Mg (0.9258, 0.9258, 0.0000)  5 Tb 2.97-3.19

- excess energy over the best structure of this formula in the dataset (eV per atom) = 0.368
- symmetry = No. 139
- DFT formation energy (meV/atom) = 299.6
- DFT total energy (eV per atom) = -3.11